This record from Alexandria describes TlAg3Rh after structural relaxation. The functional is GGA-PBE.

Density of states at the Fermi level (states/eV/cell): 5.2
Distance to the lowest polymorph of the same formula (meV/atom): 0.0
Formation enthalpy at 0 K (eV per atom): 0.768
Volume (Å³ per atom): 26.64
Calculated density (g cm⁻³): 7.864

a b c (Å): 5.107 5.107 5.107
angles (deg): 90.00 90.00 90.00
Space group Pm-3m (No. 221)
Symmetry-distinct sites (fractional):
Tl: 0.000 0.000 0.000 [1 per cell]
Ag: 0.000 0.500 0.500 [3 per cell]
Rh: 0.500 0.500 0.500 [1 per cell]

This record from Alexandria describes Sc2Mo after structural relaxation. The functional is GGA-PBE.

Density of states at the Fermi level (states/eV/cell): 10.4
Distance to the lowest polymorph of the same formula (meV/atom): 150.5
Formation enthalpy at 0 K (eV per atom): 0.165
Volume (Å³ per atom): 19.76
Calculated density (g cm⁻³): 5.207

a b c (Å): 2.966 16.610 4.812
angles (deg): 90.00 90.00 90.00
Space group Cmcm (No. 63)
Symmetry-distinct sites (fractional):
Sc: 0.000 0.048 0.250 [4 per cell]
Sc: 0.000 0.286 0.750 [4 per cell]
Mo: 0.000 0.376 0.250 [4 per cell]

This record from Alexandria describes TiBe2TlTe after structural relaxation. The functional is GGA-PBE.

Density of states at the Fermi level (states/eV/cell): 2.9
Volume (Å³ per atom): 22.61
Calculated density (g cm⁻³): 5.844
Formation energy from raw total energies (eV/atom): 0.83

a b c (Å): 4.443 4.443 5.728
angles (deg): 90.00 90.00 90.00
Space group P4/mmm (No. 123)
Symmetry-distinct sites (fractional):
Ti: 0.000 0.000 0.000 [1 per cell]
Be: 0.000 0.500 0.500 [2 per cell]
Tl: 0.000 0.000 0.500 [1 per cell]
Te: 0.500 0.500 0.000 [1 per cell]

This record from Alexandria describes Na2TlIrPb after structural relaxation. The functional is GGA-PBE.

Density of states at the Fermi level (states/eV/cell): 6.3
Formation enthalpy at 0 K (eV per atom): 1.205
Volume (Å³ per atom): 38.90
Calculated density (g cm⁻³): 5.547

a b c (Å): 5.819 5.819 5.746
angles (deg): 90.00 90.00 90.00
Space group P4/mmm (No. 123)
Symmetry-distinct sites (fractional):
Na: 0.000 0.500 0.000 [2 per cell]
Tl: 0.000 0.000 0.500 [1 per cell]
Ir: 0.500 0.500 0.500 [1 per cell]
Pb: 0.000 0.000 0.000 [1 per cell]

This record from Alexandria describes K3Cu2Br8 after structural relaxation. The functional is GGA-PBE.

Density of states at the Fermi level (states/eV/cell): 32.7
Volume (Å³ per atom): 33.15
Calculated density (g cm⁻³): 3.405
Formation energy from raw total energies (eV/atom): -0.88

a b c (Å): 7.1197 7.1197 29.4500
angles (deg): 90.00 90.00 120.00
Space group R-3m (No. 166, hexagonal axes)
Symmetry-distinct sites (fractional):
K: 0.0000 0.0000 0.0000 [3 per cell]
K: 0.0000 0.0000 0.2091 [6 per cell]
Cu: 0.0000 0.0000 0.4000 [6 per cell]
Br: 0.0000 0.0000 0.3203 [6 per cell]
Br: 0.0132 0.5066 0.7695 [18 per cell]

This record from Alexandria describes UBeAg2O6 after structural relaxation. The functional is GGA-PBE.

Density of states at the Fermi level (states/eV/cell): 2.9
Volume (Å³ per atom): 13.25
Calculated density (g cm⁻³): 7.004
Formation energy from raw total energies (eV/atom): -1.56

a b c (Å): 10.814 5.518 4.901
angles (deg): 90.00 115.04 90.00
Space group C2/m (No. 12)
Symmetry-distinct sites (fractional):
U: 0.000 0.000 0.000 [2 per cell]
Be: 0.000 0.500 0.500 [2 per cell]
Ag: 0.220 0.500 0.293 [4 per cell]
O: 0.068 0.279 0.365 [8 per cell]
O: 0.179 0.000 0.019 [4 per cell]

This record from Alexandria describes Tb4Ho15Tm after structural relaxation. The functional is GGA-PBE.

Density of states at the Fermi level (states/eV/cell): 25.7
Formation enthalpy at 0 K (eV per atom): 0.020
Volume (Å³ per atom): 30.88
Calculated density (g cm⁻³): 8.816

a b c (Å): 4.980 4.980 24.904
angles (deg): 90.00 90.00 90.00
Space group P4/mmm (No. 123)
Symmetry-distinct sites (fractional):
Tb: 0.000 0.000 0.100 [2 per cell]
Tb: 0.000 0.000 0.301 [2 per cell]
Ho: 0.000 0.500 0.000 [2 per cell]
Ho: 0.000 0.500 0.200 [4 per cell]
Ho: 0.000 0.500 0.401 [4 per cell]
Ho: 0.500 0.500 0.100 [2 per cell]
Ho: 0.500 0.500 0.301 [2 per cell]
Ho: 0.500 0.500 0.500 [1 per cell]
Tm: 0.000 0.000 0.500 [1 per cell]

This record from Alexandria describes BaTeIN2 after structural relaxation. The functional is GGA-PBE.

Density of states at the Fermi level (states/eV/cell): 2.4
Distance to the lowest polymorph of the same formula (meV/atom): 0.0
Volume (Å³ per atom): 25.11
Calculated density (g cm⁻³): 5.552
Formation energy from raw total energies (eV/atom): 0.71

a b c (Å): 4.555 4.555 6.053
angles (deg): 90.00 90.00 90.00
Space group P4/mmm (No. 123)
Symmetry-distinct sites (fractional):
Ba: 0.000 0.000 0.000 [1 per cell]
Te: 0.500 0.500 0.500 [1 per cell]
I: 0.500 0.500 0.000 [1 per cell]
N: 0.000 0.500 0.500 [2 per cell]